# Pr6SiS3Cl2

A relaxed Pr6SiS3Cl2 crystal (PBE, the Alexandria database).

```
Pr6SiS3Cl2
1.0
7.231 -0.011 -0.002
-3.623 6.258 -0.002
-1.205 -2.086 6.806
Pr Si S Cl
6 1 3 2
Direct
0.909 0.593 0.729 Pr
0.771 0.771 0.270 Pr
0.091 0.407 0.271 Pr
0.593 0.909 0.729 Pr
0.229 0.229 0.730 Pr
0.407 0.091 0.271 Pr
0.000 0.000 0.000 Si
0.169 0.831 0.500 S
0.831 0.169 0.500 S
0.500 0.500 0.500 S
0.332 0.668 0.000 Cl
0.668 0.332 0.000 Cl
```

- SG: C2/m (12)
- DOS at the Fermi energy: 4.234 states/eV per cell
- Raw formation energy: -1.659 eV per atom
- Uncorrected energy: -70.1 eV per cell

***

# Pr6Si2S3Cl

A relaxed Pr6Si2S3Cl crystal (PBE, the Alexandria database).

```
Pr6Si2S3Cl
1.0
-3.512 -0.169 -2.262
-3.489 -5.071 5.796
-0.562 8.398 4.109
Pr Si S Cl
6 2 3 1
Direct
0.326 0.907 0.653 Pr
0.667 0.584 0.334 Pr
0.674 0.093 0.347 Pr
0.003 0.273 0.006 Pr
0.997 0.727 0.994 Pr
0.333 0.416 0.666 Pr
0.835 0.669 0.669 Si
0.165 0.331 0.331 Si
0.500 0.500 0.000 S
0.837 0.162 0.673 S
0.163 0.838 0.327 S
0.500 0.000 0.000 Cl
```

- SG: C2/m (12)
- DOS at the Fermi energy: 3.866 states/eV per cell
- Raw formation energy: -1.524 eV per atom
- Uncorrected energy: -72.0 eV per cell